The following is a DFT calculation (PBE-GGA) of a relaxed structure of ThAgBi.

a = 4.7534 Å, b = 4.7534 Å, c = 4.2970 Å
α = 90.00°, β = 90.00°, γ = 120.00°
Space group P3m1 (No. 156)
Inequivalent atoms, fractional coordinates:
1 Th 0.0000 0.0000 0.0000 [1 per cell]
2 Ag 0.6667 0.3333 0.3118 [1 per cell]
3 Bi 0.3333 0.6667 0.5440 [1 per cell]

Output
The calculation puts the total moment at 0.00 μB/atom. Its energy of formation is -27.9 kJ/mol of atoms.

***

The following is a DFT calculation (PBE-GGA) of a relaxed structure of TbThHg3.

a = 3.536 Å, b = 29.942 Å, c = 4.918 Å
α = 90.00°, β = 90.00°, γ = 90.00°
Space group Cmcm (No. 63)
Inequivalent atoms, fractional coordinates:
1 Tb 0.000 0.074 0.250 [4 per cell]
2 Th 0.000 0.215 0.750 [4 per cell]
3 Hg 0.000 0.328 0.750 [4 per cell]
4 Hg 0.000 0.382 0.250 [4 per cell]
5 Hg 0.000 0.477 0.250 [4 per cell]

Output
The calculation puts the total moment at 0.00 μB/atom. The energy relative to the lowest polymorph listed for this composition comes out at 0 meV per atom. Its energy of formation is -28.9 kJ/mol of atoms.